(one)
LaSmEr | PBE | relaxed

The structure in CIF format:
```
data_LaSmEr
_cell_length_a 3.6824
_cell_length_b 19.0035
_cell_length_c 5.8158
_cell_angle_alpha 90.00
_cell_angle_beta 90.00
_cell_angle_gamma 90.00
_space_group_name_H-M_alt 'C m c m'
_space_group_IT_number 63
_space_group_name_Hall '-C 2c 2'
loop_
_atom_site_label
_atom_site_type_symbol
_atom_site_fract_x
_atom_site_fract_y
_atom_site_fract_z
_atom_site_occupancy
La1 La 0.0000 0.2242 0.2500 1
Sm1 Sm 0.0000 0.4466 0.7500 1
Er1 Er 0.0000 0.1079 0.7500 1
```

Crystal system: orthorhombic
Total magnetic moment (μB/cell): 0.00


(two)
LaSmEr | PBE | relaxed

The structure in CIF format:
```
data_LaSmEr
_cell_length_a 3.6453
_cell_length_b 3.6453
_cell_length_c 15.3009
_cell_angle_alpha 90.00
_cell_angle_beta 90.00
_cell_angle_gamma 90.00
_space_group_name_H-M_alt 'I 4 m m'
_space_group_IT_number 107
_space_group_name_Hall 'I 4 -2'
loop_
_atom_site_label
_atom_site_type_symbol
_atom_site_fract_x
_atom_site_fract_y
_atom_site_fract_z
_atom_site_occupancy
La1 La 0.0000 0.0000 0.0000 1
Sm1 Sm 0.0000 0.0000 0.6717 1
Er1 Er 0.0000 0.0000 0.3328 1
```

Crystal system: tetragonal
Total magnetic moment (μB/cell): 0.00


(three)
LaSmEr | PBE | relaxed

The structure in CIF format:
```
data_LaSmEr
_cell_length_a 11.4142
_cell_length_b 11.5243
_cell_length_c 7.1226
_cell_angle_alpha 90.00
_cell_angle_beta 90.00
_cell_angle_gamma 90.00
_space_group_name_H-M_alt 'F m m 2'
_space_group_IT_number 42
_space_group_name_Hall 'F 2 -2'
loop_
_atom_site_label
_atom_site_type_symbol
_atom_site_fract_x
_atom_site_fract_y
_atom_site_fract_z
_atom_site_occupancy
La1 La 0.0000 0.0000 0.0000 1
La2 La 0.0000 0.0000 0.4973 1
Sm1 Sm 0.0000 0.2500 0.2554 1
Er1 Er 0.2501 0.0000 0.2453 1
```

Crystal system: orthorhombic
Total magnetic moment (μB/cell): 0.01


Quick one: least stable of them? (three)


(one)
La4Sm2Er5 | PBE | relaxed

The structure in CIF format:
```
data_La4Sm2Er5
_cell_length_a 19.2905
_cell_length_b 5.7312
_cell_length_c 6.7167
_cell_angle_alpha 90.00
_cell_angle_beta 90.66
_cell_angle_gamma 90.00
_space_group_name_H-M_alt 'C 1 2/m 1'
_space_group_IT_number 12
loop_
_space_group_symop_operation_xyz
'x,y,z'
'-x,-y,-z'
'-x,y,-z'
'x,-y,z'
'x+1/2,y+1/2,z'
'-x+1/2,-y+1/2,-z'
'-x+1/2,y+1/2,-z'
'x+1/2,-y+1/2,z'
loop_
_atom_site_label
_atom_site_type_symbol
_atom_site_fract_x
_atom_site_fract_y
_atom_site_fract_z
_atom_site_occupancy
La1 La 0.0217 0.0000 0.2899 1
La2 La 0.1935 0.5000 0.0784 1
Sm1 Sm 0.0996 0.5000 0.5593 1
Er1 Er 0.0000 0.5000 0.0000 1
Er2 Er 0.1303 0.0000 0.8824 1
Er3 Er 0.2101 0.0000 0.4029 1
```

Crystal system: monoclinic
Total magnetic moment (μB/cell): 0.00


(two)
La4Sm2Er5 | PBE | relaxed

The structure in CIF format:
```
data_La4Sm2Er5
_cell_length_a 24.4162
_cell_length_b 3.5369
_cell_length_c 8.7227
_cell_angle_alpha 90.00
_cell_angle_beta 93.95
_cell_angle_gamma 90.00
_space_group_name_H-M_alt 'C 1 2/m 1'
_space_group_IT_number 12
loop_
_space_group_symop_operation_xyz
'x,y,z'
'-x,-y,-z'
'-x,y,-z'
'x,-y,z'
'x+1/2,y+1/2,z'
'-x+1/2,-y+1/2,-z'
'-x+1/2,y+1/2,-z'
'x+1/2,-y+1/2,z'
loop_
_atom_site_label
_atom_site_type_symbol
_atom_site_fract_x
_atom_site_fract_y
_atom_site_fract_z
_atom_site_occupancy
La1 La 0.0404 0.0000 0.3407 1
La2 La 0.0904 0.5000 0.6978 1
Sm1 Sm 0.2259 0.5000 0.8271 1
Er1 Er 0.0000 0.5000 0.0000 1
Er2 Er 0.1320 0.0000 0.0511 1
Er3 Er 0.1884 0.0000 0.4701 1
```

Crystal system: monoclinic
Total magnetic moment (μB/cell): 0.00


Quick one: least stable of them? (two)


(one)
LaSm2Er | PBE | relaxed

The structure in CIF format:
```
data_LaSm2Er
_cell_length_a 12.0980
_cell_length_b 3.6332
_cell_length_c 6.2385
_cell_angle_alpha 90.00
_cell_angle_beta 99.92
_cell_angle_gamma 90.00
_space_group_name_H-M_alt 'C 1 2/m 1'
_space_group_IT_number 12
loop_
_space_group_symop_operation_xyz
'x,y,z'
'-x,-y,-z'
'-x,y,-z'
'x,-y,z'
'x+1/2,y+1/2,z'
'-x+1/2,-y+1/2,-z'
'-x+1/2,y+1/2,-z'
'x+1/2,-y+1/2,z'
loop_
_atom_site_label
_atom_site_type_symbol
_atom_site_fract_x
_atom_site_fract_y
_atom_site_fract_z
_atom_site_occupancy
La1 La 0.0000 0.0000 0.0000 1
Sm1 Sm 0.2481 0.0000 0.7484 1
Er1 Er 0.0000 0.5000 0.5000 1
```

Crystal system: monoclinic
Total magnetic moment (μB/cell): 0.00


(two)
LaSm2Er | PBE | relaxed

The structure in CIF format:
```
data_LaSm2Er
_cell_length_a 8.1843
_cell_length_b 8.1843
_cell_length_c 8.1843
_cell_angle_alpha 90.00
_cell_angle_beta 90.00
_cell_angle_gamma 90.00
_space_group_name_H-M_alt 'F m -3 m'
_space_group_IT_number 225
_space_group_name_Hall '-F 4 2 3'
loop_
_atom_site_label
_atom_site_type_symbol
_atom_site_fract_x
_atom_site_fract_y
_atom_site_fract_z
_atom_site_occupancy
La1 La 0.0000 0.0000 0.0000 1
Sm1 Sm 0.2500 0.2500 0.2500 1
Er1 Er 0.0000 0.0000 0.5000 1
```

Crystal system: cubic
Total magnetic moment (μB/cell): 4.96


Quick one: least stable of them? (two)


(one)
LaSm2Er | PBE | relaxed

The structure in CIF format:
```
data_LaSm2Er
_cell_length_a 3.6266
_cell_length_b 3.6266
_cell_length_c 35.5776
_cell_angle_alpha 90.00
_cell_angle_beta 90.00
_cell_angle_gamma 120.00
_space_group_name_H-M_alt 'R -3 m'
_space_group_IT_number 166
_space_group_name_Hall '-R 3 2"'
loop_
_atom_site_label
_atom_site_type_symbol
_atom_site_fract_x
_atom_site_fract_y
_atom_site_fract_z
_atom_site_occupancy
La1 La 0.0000 0.0000 0.0000 1
Sm1 Sm 0.0000 0.0000 0.2475 1
Er1 Er 0.0000 0.0000 0.5000 1
```

Crystal system: trigonal
Total magnetic moment (μB/cell): 0.00


(two)
LaSm2Er | PBE | relaxed

The structure in CIF format:
```
data_LaSm2Er
_cell_length_a 6.3652
_cell_length_b 5.8355
_cell_length_c 14.6846
_cell_angle_alpha 90.00
_cell_angle_beta 90.00
_cell_angle_gamma 90.00
_space_group_name_H-M_alt 'P n m a'
_space_group_IT_number 62
loop_
_space_group_symop_operation_xyz
'x,y,z'
'-x,-y,-z'
'-x+1/2,-y,z+1/2'
'x+1/2,y,-z+1/2'
'x+1/2,-y+1/2,-z+1/2'
'-x+1/2,y+1/2,z+1/2'
'-x,y+1/2,-z'
'x,-y+1/2,z'
loop_
_atom_site_label
_atom_site_type_symbol
_atom_site_fract_x
_atom_site_fract_y
_atom_site_fract_z
_atom_site_occupancy
La1 La 0.0843 0.2500 0.1885 1
Sm1 Sm 0.0827 0.2500 0.6847 1
Sm2 Sm 0.0865 0.2500 0.9379 1
Er1 Er 0.0811 0.2500 0.4397 1
```

Crystal system: orthorhombic
Total magnetic moment (μB/cell): 0.00


Quick one: least stable of them? (two)


(one)
La3Sm2Er4 | PBE | relaxed

The structure in CIF format:
```
data_La3Sm2Er4
_cell_length_a 16.4799
_cell_length_b 11.8762
_cell_length_c 6.1891
_cell_angle_alpha 90.00
_cell_angle_beta 97.71
_cell_angle_gamma 90.00
_space_group_name_H-M_alt 'C 1 2/c 1'
_space_group_IT_number 15
loop_
_space_group_symop_operation_xyz
'x,y,z'
'-x,-y,-z'
'-x,y,-z+1/2'
'x,-y,z+1/2'
'x+1/2,y+1/2,z'
'-x+1/2,-y+1/2,-z'
'-x+1/2,y+1/2,-z+1/2'
'x+1/2,-y+1/2,z+1/2'
loop_
_atom_site_label
_atom_site_type_symbol
_atom_site_fract_x
_atom_site_fract_y
_atom_site_fract_z
_atom_site_occupancy
La1 La 0.0000 0.1230 0.2500 1
La2 La 0.1618 0.3593 0.0923 1
Sm1 Sm 0.1141 0.1320 0.7925 1
Er1 Er 0.0564 0.3826 0.5395 1
Er2 Er 0.2286 0.1177 0.3614 1
```

Crystal system: monoclinic
Total magnetic moment (μB/cell): 0.00


(two)
La3Sm2Er4 | PBE | relaxed

The structure in CIF format:
```
data_La3Sm2Er4
_cell_length_a 9.9307
_cell_length_b 17.2186
_cell_length_c 3.5202
_cell_angle_alpha 90.00
_cell_angle_beta 90.00
_cell_angle_gamma 90.00
_space_group_name_H-M_alt 'C m m m'
_space_group_IT_number 65
_space_group_name_Hall '-C 2 2'
loop_
_atom_site_label
_atom_site_type_symbol
_atom_site_fract_x
_atom_site_fract_y
_atom_site_fract_z
_atom_site_occupancy
La1 La 0.0000 0.0000 0.0000 1
La2 La 0.0000 0.3280 0.0000 1
Sm1 Sm 0.1655 0.5000 0.5000 1
Er1 Er 0.1668 0.1663 0.5000 1
```

Crystal system: orthorhombic
Total magnetic moment (μB/cell): 0.00


Quick one: least stable of them? (one)


(one)
La4SmEr4 | PBE | relaxed

The structure in CIF format:
```
data_La4SmEr4
_cell_length_a 6.4455
_cell_length_b 6.7867
_cell_length_c 29.2174
_cell_angle_alpha 90.00
_cell_angle_beta 90.00
_cell_angle_gamma 90.00
_space_group_name_H-M_alt 'F m m 2'
_space_group_IT_number 42
_space_group_name_Hall 'F 2 -2'
loop_
_atom_site_label
_atom_site_type_symbol
_atom_site_fract_x
_atom_site_fract_y
_atom_site_fract_z
_atom_site_occupancy
La1 La 0.0000 0.0000 0.0000 1
La2 La 0.0000 0.0000 0.4768 1
La3 La 0.2500 0.2500 0.1958 1
Sm1 Sm 0.0000 0.0000 0.2931 1
Er1 Er 0.0000 0.2313 0.8836 1
Er2 Er 0.2432 0.0000 0.5951 1
```

Crystal system: orthorhombic
Total magnetic moment (μB/cell): 0.00


(two)
La4SmEr4 | PBE | relaxed

The structure in CIF format:
```
data_La4SmEr4
_cell_length_a 10.8663
_cell_length_b 10.8663
_cell_length_c 5.1445
_cell_angle_alpha 90.00
_cell_angle_beta 90.00
_cell_angle_gamma 90.00
_space_group_name_H-M_alt 'I 4/m m m'
_space_group_IT_number 139
_space_group_name_Hall '-I 4 2'
loop_
_atom_site_label
_atom_site_type_symbol
_atom_site_fract_x
_atom_site_fract_y
_atom_site_fract_z
_atom_site_occupancy
La1 La 0.1673 0.1673 0.0000 1
Sm1 Sm 0.0000 0.0000 0.5000 1
Er1 Er 0.0000 0.3376 0.5000 1
```

Crystal system: tetragonal
Total magnetic moment (μB/cell): 0.00


Quick one: least stable of them? (one)


(one)
LaSm3Er7 | PBE | relaxed

The structure in CIF format:
```
data_LaSm3Er7
_cell_length_a 5.8266
_cell_length_b 11.1644
_cell_length_c 11.2101
_cell_angle_alpha 90.00
_cell_angle_beta 90.00
_cell_angle_gamma 90.00
_space_group_name_H-M_alt 'I m m m'
_space_group_IT_number 71
_space_group_name_Hall '-I 2 2'
loop_
_atom_site_label
_atom_site_type_symbol
_atom_site_fract_x
_atom_site_fract_y
_atom_site_fract_z
_atom_site_occupancy
La1 La 0.0000 0.0000 0.0000 1
Sm1 Sm 0.0000 0.0000 0.5000 1
Sm2 Sm 0.0000 0.5000 0.2102 1
Er1 Er 0.0000 0.2131 0.3091 1
Er2 Er 0.0000 0.2967 0.0000 1
Er3 Er 0.0000 0.5000 0.5000 1
```

Crystal system: orthorhombic
Total magnetic moment (μB/cell): 0.00


(two)
LaSm3Er7 | PBE | relaxed

The structure in CIF format:
```
data_LaSm3Er7
_cell_length_a 6.9619
_cell_length_b 5.5293
_cell_length_c 9.9501
_cell_angle_alpha 90.00
_cell_angle_beta 109.55
_cell_angle_gamma 90.00
_space_group_name_H-M_alt 'P 1 2/m 1'
_space_group_IT_number 10
loop_
_space_group_symop_operation_xyz
'x,y,z'
'-x,-y,-z'
'-x,y,-z'
'x,-y,z'
loop_
_atom_site_label
_atom_site_type_symbol
_atom_site_fract_x
_atom_site_fract_y
_atom_site_fract_z
_atom_site_occupancy
La1 La 0.0000 0.0000 0.0000 1
Sm1 Sm 0.2811 0.5000 0.4970 1
Sm2 Sm 0.5000 0.0000 0.0000 1
Er1 Er 0.0000 0.0000 0.5000 1
Er2 Er 0.1458 0.5000 0.7884 1
Er3 Er 0.3238 0.5000 0.1411 1
Er4 Er 0.4234 0.0000 0.3310 1
```

Crystal system: monoclinic
Total magnetic moment (μB/cell): 0.00


Quick one: least stable of them? (one)


(one)
La3Sm2Er3 | PBE | relaxed

The structure in CIF format:
```
data_La3Sm2Er3
_cell_length_a 5.0494
_cell_length_b 5.1648
_cell_length_c 20.7164
_cell_angle_alpha 90.00
_cell_angle_beta 90.00
_cell_angle_gamma 90.00
_space_group_name_H-M_alt 'I m m m'
_space_group_IT_number 71
_space_group_name_Hall '-I 2 2'
loop_
_atom_site_label
_atom_site_type_symbol
_atom_site_fract_x
_atom_site_fract_y
_atom_site_fract_z
_atom_site_occupancy
La1 La 0.0000 0.0000 0.0000 1
La2 La 0.0000 0.5000 0.1229 1
Sm1 Sm 0.0000 0.0000 0.2485 1
Er1 Er 0.0000 0.0000 0.5000 1
Er2 Er 0.0000 0.5000 0.3734 1
```

Crystal system: orthorhombic
Total magnetic moment (μB/cell): 0.00


(two)
La3Sm2Er3 | PBE | relaxed

The structure in CIF format:
```
data_La3Sm2Er3
_cell_length_a 16.3329
_cell_length_b 5.9529
_cell_length_c 5.9871
_cell_angle_alpha 90.00
_cell_angle_beta 111.47
_cell_angle_gamma 90.00
_space_group_name_H-M_alt 'C 1 2/m 1'
_space_group_IT_number 12
loop_
_space_group_symop_operation_xyz
'x,y,z'
'-x,-y,-z'
'-x,y,-z'
'x,-y,z'
'x+1/2,y+1/2,z'
'-x+1/2,-y+1/2,-z'
'-x+1/2,y+1/2,-z'
'x+1/2,-y+1/2,z'
loop_
_atom_site_label
_atom_site_type_symbol
_atom_site_fract_x
_atom_site_fract_y
_atom_site_fract_z
_atom_site_occupancy
La1 La 0.0000 0.0000 0.0000 1
La2 La 0.1479 0.0000 0.6493 1
Sm1 Sm 0.2467 0.5000 0.7447 1
Er1 Er 0.0000 0.5000 0.5000 1
Er2 Er 0.1210 0.5000 0.1195 1
```

Crystal system: monoclinic
Total magnetic moment (μB/cell): 0.01


Quick one: least stable of them? (two)


(one)
La3Sm8Er2 | PBE | relaxed

The structure in CIF format:
```
data_La3Sm8Er2
_cell_length_a 20.4490
_cell_length_b 7.7685
_cell_length_c 5.7674
_cell_angle_alpha 90.00
_cell_angle_beta 90.07
_cell_angle_gamma 90.00
_space_group_name_H-M_alt 'C 1 2/m 1'
_space_group_IT_number 12
loop_
_space_group_symop_operation_xyz
'x,y,z'
'-x,-y,-z'
'-x,y,-z'
'x,-y,z'
'x+1/2,y+1/2,z'
'-x+1/2,-y+1/2,-z'
'-x+1/2,y+1/2,-z'
'x+1/2,-y+1/2,z'
loop_
_atom_site_label
_atom_site_type_symbol
_atom_site_fract_x
_atom_site_fract_y
_atom_site_fract_z
_atom_site_occupancy
La1 La 0.0000 0.0000 0.0000 1
La2 La 0.0000 0.2952 0.5000 1
Sm1 Sm 0.1096 0.2913 0.9999 1
Sm2 Sm 0.1369 0.0000 0.4984 1
Sm3 Sm 0.1756 0.5000 0.5015 1
Er1 Er 0.2414 0.0000 0.9977 1
```

Crystal system: monoclinic
Total magnetic moment (μB/cell): 0.00


(two)
La3Sm8Er2 | PBE | relaxed

The structure in CIF format:
```
data_La3Sm8Er2
_cell_length_a 11.5891
_cell_length_b 13.0216
_cell_length_c 11.9994
_cell_angle_alpha 90.00
_cell_angle_beta 90.00
_cell_angle_gamma 90.00
_space_group_name_H-M_alt 'C m c e'
_space_group_IT_number 64
_space_group_name_Hall '-C 2ac 2'
loop_
_atom_site_label
_atom_site_type_symbol
_atom_site_fract_x
_atom_site_fract_y
_atom_site_fract_z
_atom_site_occupancy
La1 La 0.0000 0.0000 0.0000 1
La2 La 0.2500 0.1098 0.2500 1
Sm1 Sm 0.0000 0.0572 0.7220 1
Sm2 Sm 0.0000 0.1745 0.4304 1
Sm3 Sm 0.2402 0.1412 0.9114 1
Er1 Er 0.0000 0.1996 0.1556 1
```

Crystal system: orthorhombic
Total magnetic moment (μB/cell): 0.00


Quick one: least stable of them? (one)


(one)
LaSm6Er | PBE | relaxed

The structure in CIF format:
```
data_LaSm6Er
_cell_length_a 5.1303
_cell_length_b 5.1303
_cell_length_c 10.2679
_cell_angle_alpha 90.00
_cell_angle_beta 90.00
_cell_angle_gamma 90.00
_space_group_name_H-M_alt 'P 4/m m m'
_space_group_IT_number 123
_space_group_name_Hall '-P 4 2'
loop_
_atom_site_label
_atom_site_type_symbol
_atom_site_fract_x
_atom_site_fract_y
_atom_site_fract_z
_atom_site_occupancy
La1 La 0.0000 0.0000 0.0000 1
Sm1 Sm 0.0000 0.5000 0.2546 1
Sm2 Sm 0.5000 0.5000 0.0000 1
Sm3 Sm 0.5000 0.5000 0.5000 1
Er1 Er 0.0000 0.0000 0.5000 1
```

Crystal system: tetragonal
Total magnetic moment (μB/cell): 0.00


(two)
LaSm6Er | PBE | relaxed

The structure in CIF format:
```
data_LaSm6Er
_cell_length_a 9.3686
_cell_length_b 7.1522
_cell_length_c 9.0988
_cell_angle_alpha 90.00
_cell_angle_beta 104.17
_cell_angle_gamma 90.00
_space_group_name_H-M_alt 'C 1 2/m 1'
_space_group_IT_number 12
loop_
_space_group_symop_operation_xyz
'x,y,z'
'-x,-y,-z'
'-x,y,-z'
'x,-y,z'
'x+1/2,y+1/2,z'
'-x+1/2,-y+1/2,-z'
'-x+1/2,y+1/2,-z'
'x+1/2,-y+1/2,z'
loop_
_atom_site_label
_atom_site_type_symbol
_atom_site_fract_x
_atom_site_fract_y
_atom_site_fract_z
_atom_site_occupancy
La1 La 0.0000 0.0000 0.0000 1
Sm1 Sm 0.1276 0.5000 0.9241 1
Sm2 Sm 0.2231 0.2639 0.3030 1
Er1 Er 0.0000 0.5000 0.5000 1
```

Crystal system: monoclinic
Total magnetic moment (μB/cell): 0.00


Quick one: least stable of them? (two)